A | ## YSbRh4 (PBE)

Data for YSbRh4 after structural relaxation.

Computed properties:
Space group: F-43m (216)

Cell: 5.3051 5.3051 5.3051 Å, 60.00 60.00 60.00°
Atoms (fractional coordinates):
Y (0.0000, 0.0000, 0.0000)
Sb (0.2500, 0.2500, 0.2500)
Rh (0.1272, 0.6243, 0.6243)
Rh (0.6243, 0.1272, 0.6243)
Rh (0.6243, 0.6243, 0.1272)
Rh (0.6243, 0.6243, 0.6243)

---

B | ## YSbRh4 (PBE)

Data for YSbRh4 after structural relaxation.

Computed properties:
Space group: Cmcm (63)

Cell: 7.4447 7.4447 6.7615 Å, 90.00 90.00 143.20°
Atoms (fractional coordinates):
Y (0.1085, 0.8915, 0.7500)
Y (0.8915, 0.1085, 0.2500)
Sb (0.3550, 0.6450, 0.7500)
Sb (0.6450, 0.3550, 0.2500)
Rh (0.0787, 0.9213, 0.2500)
Rh (0.2608, 0.7392, 0.0711)
Rh (0.2608, 0.7392, 0.4289)
Rh (0.5000, 0.5000, 0.0000)
Rh (0.5000, 0.5000, 0.5000)
Rh (0.7392, 0.2608, 0.5711)
Rh (0.7392, 0.2608, 0.9289)
Rh (0.9213, 0.0787, 0.7500)

---

A wins, 0.124 eV/atom ahead of the next structure.

---

A | ## Zn2SbRh2 (PBE)

Data for Zn2SbRh2 after structural relaxation.

Computed properties:
Space group: P4/mbm (127)

Cell: 7.2401 7.2401 3.0632 Å, 90.00 90.00 90.00°
Atoms (fractional coordinates):
Zn (0.1226, 0.3774, 0.0000)
Zn (0.3774, 0.8774, 0.0000)
Zn (0.6226, 0.1226, 0.0000)
Zn (0.8774, 0.6226, 0.0000)
Sb (0.0000, 0.0000, 0.0000)
Sb (0.5000, 0.5000, 0.0000)
Rh (0.1723, 0.6723, 0.5000)
Rh (0.3277, 0.1723, 0.5000)
Rh (0.6723, 0.8277, 0.5000)
Rh (0.8277, 0.3277, 0.5000)

---

B | ## Zn2SbRh2 (PBE)

Data for Zn2SbRh2 after structural relaxation.

Computed properties:
Space group: P4/mbm (127)

Cell: 7.1632 7.1632 3.1608 Å, 90.00 90.00 90.00°
Atoms (fractional coordinates):
Zn (0.1386, 0.3614, 0.0000)
Zn (0.3614, 0.8614, 0.0000)
Zn (0.6386, 0.1386, 0.0000)
Zn (0.8614, 0.6386, 0.0000)
Sb (0.0000, 0.0000, 0.5000)
Sb (0.5000, 0.5000, 0.5000)
Rh (0.1561, 0.6561, 0.5000)
Rh (0.3439, 0.1561, 0.5000)
Rh (0.6561, 0.8439, 0.5000)
Rh (0.8439, 0.3439, 0.5000)

---

B wins, 0.101 eV/atom ahead of the next structure.

---

A | ## ZnSb2Rh2 (PBE)

Data for ZnSb2Rh2 after structural relaxation.

Computed properties:
Space group: P4/mbm (127)

Cell: 7.0129 7.0129 3.7958 Å, 90.00 90.00 90.00°
Atoms (fractional coordinates):
Zn (0.0000, 0.0000, 0.0000)
Zn (0.5000, 0.5000, 0.0000)
Sb (0.1581, 0.3419, 0.5000)
Sb (0.3419, 0.8419, 0.5000)
Sb (0.6581, 0.1581, 0.5000)
Sb (0.8419, 0.6581, 0.5000)
Rh (0.1481, 0.6481, 0.0000)
Rh (0.3519, 0.1481, 0.0000)
Rh (0.6481, 0.8519, 0.0000)
Rh (0.8519, 0.3519, 0.0000)

---

B | ## ZnSb2Rh2 (PBE)

Data for ZnSb2Rh2 after structural relaxation.

Computed properties:
Space group: I4/mmm (139)

Cell: 4.4330 4.4330 11.0828 Å, 90.00 90.00 90.00°
Atoms (fractional coordinates):
Zn (0.0000, 0.0000, 0.0000)
Zn (0.5000, 0.5000, 0.5000)
Sb (0.0000, 0.5000, 0.2500)
Sb (0.0000, 0.5000, 0.7500)
Sb (0.5000, 0.0000, 0.2500)
Sb (0.5000, 0.0000, 0.7500)
Rh (0.0000, 0.0000, 0.3816)
Rh (0.0000, 0.0000, 0.6184)
Rh (0.5000, 0.5000, 0.1184)
Rh (0.5000, 0.5000, 0.8816)

---

A wins, 0.314 eV/atom ahead of the next structure.